[1]
DFT (GGA-PBE) results for an optimized crystal structure of NdBr3Cl.

Lattice parameters (Å, degrees): 6.835 6.838 7.897 98.54 106.38 99.27
Space group P-1 (No. 2)
Asymmetric unit:
Nd1 0.245 0.244 0.000 x2
Br1 0.008 0.537 0.783 x2
Br2 0.334 0.863 0.783 x2
Br3 0.491 0.370 0.766 x2
Cl1 0.146 0.979 0.213 x2

ΔE_f (raw)	-1.481	eV per atom
total DFT energy (no corrections)	-3.807	eV per atom



[2]
DFT (GGA-PBE) results for an optimized crystal structure of Nd2BrCl4.

Lattice parameters (Å, degrees): 4.8989 4.8989 29.7592 90.00 90.00 120.00
Space group R-3m (No. 166, hexagonal axes)
Asymmetric unit:
Nd1 0.0000 0.0000 0.0968 x6
Br1 0.0000 0.0000 0.0000 x3
Cl1 0.0000 0.0000 0.1975 x6
Cl2 0.0000 0.0000 0.4119 x6

N(E_F)	17.66	states/eV per cell
ΔE_f (raw)	-1.955	eV per atom
total DFT energy (no corrections)	-4.611	eV per atom



[3]
DFT (GGA-PBE) results for an optimized crystal structure of Nd2BrCl.

Lattice parameters (Å, degrees): 3.6546 3.6546 27.4036 90.00 90.00 120.00
Space group R3m (No. 160, hexagonal axes)
Asymmetric unit:
Nd1 0.0000 0.0000 0.0000 x3
Nd2 0.0000 0.0000 0.1594 x3
Br1 0.0000 0.0000 0.5800 x3
Cl1 0.0000 0.0000 0.4131 x3

energy above the most stable polymorph in this dataset	0	meV per atom
N(E_F)	3.91	states/eV per cell
ΔE_f (raw)	-1.255	eV per atom
total DFT energy (no corrections)	-4.519	eV per atom



[4]
DFT (GGA-PBE) results for an optimized crystal structure of Nd3Br7Cl.

Lattice parameters (Å, degrees): 8.5034 8.5034 7.0108 90.00 90.00 120.00
Space group P3m1 (No. 156)
Asymmetric unit:
Nd1 0.0019 0.5009 0.0000 x3
Br1 0.1728 0.3456 0.2351 x3
Br2 0.3464 0.1732 0.7662 x3
Br3 0.6667 0.3333 0.2428 x1
Cl1 0.3333 0.6667 0.7870 x1

N(E_F)	5.54	states/eV per cell
ΔE_f (raw)	-1.819	eV per atom
total DFT energy (no corrections)	-4.352	eV per atom



[5]
DFT (GGA-PBE) results for an optimized crystal structure of Nd2BrCl.

Lattice parameters (Å, degrees): 3.6429 3.6429 27.4309 90.00 90.00 120.00
Space group R-3m (No. 166, hexagonal axes)
Asymmetric unit:
Nd1 0.0000 0.0000 0.2471 x6
Br1 0.0000 0.0000 0.0000 x3
Cl1 0.0000 0.0000 0.5000 x3

energy above the most stable polymorph in this dataset	5	meV per atom
N(E_F)	4.58	states/eV per cell
ΔE_f (raw)	-1.250	eV per atom
total DFT energy (no corrections)	-4.514	eV per atom



[6]
DFT (GGA-PBE) results for an optimized crystal structure of Nd2Br4Cl.

Lattice parameters (Å, degrees): 5.1634 5.1634 29.4134 90.00 90.00 120.00
Space group R-3m (No. 166, hexagonal axes)
Asymmetric unit:
Nd1 0.0000 0.0000 0.0924 x6
Br1 0.0000 0.0000 0.2005 x6
Br2 0.0000 0.0000 0.4020 x6
Cl1 0.0000 0.0000 0.0000 x3

N(E_F)	18.54	states/eV per cell
ΔE_f (raw)	-1.715	eV per atom
total DFT energy (no corrections)	-4.297	eV per atom



[7]
DFT (GGA-PBE) results for an optimized crystal structure of Nd4NiBr2Cl.

Lattice parameters (Å, degrees): 7.066 4.010 8.029 90.00 107.73 90.00
Space group P2/m (No. 10)
Asymmetric unit:
Nd1 0.219 0.000 0.202 x2
Nd2 0.262 0.500 0.791 x2
Ni1 0.000 0.500 0.000 x1
Br1 0.000 0.000 0.500 x1
Br2 0.500 0.500 0.500 x1
Cl1 0.500 0.000 0.000 x1

N(E_F)	5.01	states/eV per cell
ΔE_f (raw)	-1.028	eV per atom
total DFT energy (no corrections)	-4.783	eV per atom



[8]
DFT (GGA-PBE) results for an optimized crystal structure of Nd3OsBrCl.

Lattice parameters (Å, degrees): 9.211 4.020 9.598 90.00 103.33 90.00
Space group P2_1/m (No. 11)
Asymmetric unit:
Nd1 0.139 0.250 0.110 x2
Nd2 0.143 0.250 0.460 x2
Nd3 0.263 0.750 0.812 x2
Os1 0.038 0.250 0.762 x2
Br1 0.415 0.750 0.134 x2
Cl1 0.370 0.750 0.559 x2

N(E_F)	9.35	states/eV per cell
ΔE_f (raw)	-0.961	eV per atom
total DFT energy (no corrections)	-5.803	eV per atom



[9]
DFT (GGA-PBE) results for an optimized crystal structure of Nd8Os3Br3Cl.

Lattice parameters (Å, degrees): 8.4946 8.4946 22.0603 90.00 90.00 120.00
Space group R-3m (No. 166, hexagonal axes)
Asymmetric unit:
Nd1 0.0000 0.0000 0.2339 x6
Nd2 0.0305 0.5153 0.7634 x18
Os1 0.0000 0.5000 0.5000 x9
Br1 0.0000 0.5000 0.0000 x9
Cl1 0.0000 0.0000 0.5000 x3

N(E_F)	30.46	states/eV per cell
ΔE_f (raw)	-0.686	eV per atom
total DFT energy (no corrections)	-5.933	eV per atom



[10]
DFT (GGA-PBE) results for an optimized crystal structure of Nd4OsBrCl2.

Lattice parameters (Å, degrees): 7.369 4.092 7.905 90.00 108.21 90.00
Space group P2/m (No. 10)
Asymmetric unit:
Nd1 0.215 0.000 0.209 x2
Nd2 0.249 0.500 0.794 x2
Os1 0.000 0.500 0.000 x1
Br1 0.000 0.000 0.500 x1
Cl1 0.500 0.000 0.000 x1
Cl2 0.500 0.500 0.500 x1

N(E_F)	4.62	states/eV per cell
ΔE_f (raw)	-1.025	eV per atom
total DFT energy (no corrections)	-5.484	eV per atom



[11]
DFT (GGA-PBE) results for an optimized crystal structure of Nd8Os3Br4Cl.

Lattice parameters (Å, degrees): 8.4257 8.4257 23.1642 90.00 90.00 120.00
Space group R-3m (No. 166, hexagonal axes)
Asymmetric unit:
Nd1 0.0000 0.0000 0.2322 x6
Nd2 0.0255 0.5127 0.7673 x18
Os1 0.0000 0.5000 0.5000 x9
Br1 0.0000 0.0000 0.0000 x3
Br2 0.0000 0.5000 0.0000 x9
Cl1 0.0000 0.0000 0.5000 x3

N(E_F)	26.49	states/eV per cell
ΔE_f (raw)	-0.843	eV per atom
total DFT energy (no corrections)	-5.866	eV per atom



[12]
DFT (GGA-PBE) results for an optimized crystal structure of Nd8Pt3Br4Cl.

Lattice parameters (Å, degrees): 8.4582 8.4582 22.6050 90.00 90.00 120.00
Space group R-3m (No. 166, hexagonal axes)
Asymmetric unit:
Nd1 0.0000 0.0000 0.2317 x6
Nd2 0.0117 0.5059 0.7624 x18
Pt1 0.0000 0.5000 0.5000 x9
Br1 0.0000 0.0000 0.0000 x3
Br2 0.0000 0.5000 0.0000 x9
Cl1 0.0000 0.0000 0.5000 x3

N(E_F)	46.22	states/eV per cell
ΔE_f (raw)	-1.222	eV per atom
total DFT energy (no corrections)	-5.272	eV per atom



[13]
DFT (GGA-PBE) results for an optimized crystal structure of Nd3RuBrCl.

Lattice parameters (Å, degrees): 9.439 3.875 10.133 90.00 108.12 90.00
Space group P2_1/m (No. 11)
Asymmetric unit:
Nd1 0.131 0.250 0.427 x2
Nd2 0.156 0.250 0.094 x2
Nd3 0.261 0.750 0.806 x2
Ru1 0.030 0.250 0.798 x2
Br1 0.428 0.750 0.124 x2
Cl1 0.357 0.750 0.565 x2

N(E_F)	7.09	states/eV per cell
ΔE_f (raw)	-1.011	eV per atom
total DFT energy (no corrections)	-5.528	eV per atom



[14]
DFT (GGA-PBE) results for an optimized crystal structure of Nd4RuBr2Cl.

Lattice parameters (Å, degrees): 7.457 4.064 7.982 90.00 107.26 90.00
Space group P2/m (No. 10)
Asymmetric unit:
Nd1 0.209 0.000 0.203 x2
Nd2 0.247 0.500 0.796 x2
Ru1 0.000 0.500 0.000 x1
Br1 0.000 0.000 0.500 x1
Br2 0.500 0.500 0.500 x1
Cl1 0.500 0.000 0.000 x1

N(E_F)	4.67	states/eV per cell
ΔE_f (raw)	-1.018	eV per atom
total DFT energy (no corrections)	-5.211	eV per atom



[15]
DFT (GGA-PBE) results for an optimized crystal structure of Nd6Si2BrCl3.

Lattice parameters (Å, degrees): 18.279 4.308 8.291 90.00 102.00 90.00
Space group C2/m (No. 12)
Asymmetric unit:
Nd1 0.009 0.000 0.265 x4
Nd2 0.170 0.500 0.109 x4
Nd3 0.171 0.500 0.574 x4
Si1 0.166 0.000 0.335 x4
Br1 0.000 0.500 0.000 x2
Cl1 0.000 0.500 0.500 x2
Cl2 0.168 0.000 0.839 x4

N(E_F)	11.29	states/eV per cell
ΔE_f (raw)	-1.193	eV per atom
total DFT energy (no corrections)	-5.081	eV per atom



[16]
DFT (GGA-PBE) results for an optimized crystal structure of Nd8Si3Br4Cl.

Lattice parameters (Å, degrees): 8.5005 8.5005 21.8014 90.00 90.00 120.00
Space group R-3m (No. 166, hexagonal axes)
Asymmetric unit:
Nd1 0.0000 0.0000 0.2371 x6
Nd2 0.0145 0.5072 0.7632 x18
Si1 0.0000 0.5000 0.5000 x9
Br1 0.0000 0.0000 0.0000 x3
Br2 0.0000 0.5000 0.0000 x9
Cl1 0.0000 0.0000 0.5000 x3

N(E_F)	20.15	states/eV per cell
ΔE_f (raw)	-1.139	eV per atom
total DFT energy (no corrections)	-5.073	eV per atom



[17]
DFT (GGA-PBE) results for an optimized crystal structure of Nd3SiBrCl.

Lattice parameters (Å, degrees): 9.042 4.122 9.339 90.00 103.25 90.00
Space group P2_1/m (No. 11)
Asymmetric unit:
Nd1 0.145 0.250 0.103 x2
Nd2 0.145 0.250 0.464 x2
Nd3 0.284 0.750 0.815 x2
Si1 0.043 0.250 0.761 x2
Br1 0.414 0.750 0.143 x2
Cl1 0.367 0.750 0.547 x2

N(E_F)	9.02	states/eV per cell
ΔE_f (raw)	-1.188	eV per atom
total DFT energy (no corrections)	-5.062	eV per atom



[18]
DFT (GGA-PBE) results for an optimized crystal structure of Nd4SiBr2Cl.

Lattice parameters (Å, degrees): 6.936 4.179 8.013 90.00 108.30 90.00
Space group P2/m (No. 10)
Asymmetric unit:
Nd1 0.235 0.000 0.206 x2
Nd2 0.261 0.500 0.790 x2
Si1 0.500 0.000 0.000 x1
Br1 0.000 0.000 0.500 x1
Br2 0.500 0.500 0.500 x1
Cl1 0.000 0.500 0.000 x1

N(E_F)	4.86	states/eV per cell
ΔE_f (raw)	-1.159	eV per atom
total DFT energy (no corrections)	-4.870	eV per atom



[19]
DFT (GGA-PBE) results for an optimized crystal structure of Ni2BrCl.

Lattice parameters (Å, degrees): 3.363 6.766 6.910 90.00 90.00 90.00
Space group Immm (No. 71)
Asymmetric unit:
Ni1 0.000 0.235 0.000 x4
Br1 0.000 0.000 0.500 x2
Cl1 0.000 0.500 0.500 x2

energy above the most stable polymorph in this dataset	373	meV per atom
N(E_F)	14.74	states/eV per cell
ΔE_f (raw)	0.228	eV per atom
total DFT energy (no corrections)	-3.542	eV per atom



[20]
DFT (GGA-PBE) results for an optimized crystal structure of NiBr2Cl.

Lattice parameters (Å, degrees): 3.4677 3.4677 30.6521 90.00 90.00 120.00
Space group R3m (No. 160, hexagonal axes)
Asymmetric unit:
Ni1 0.0000 0.0000 0.0000 x3
Br1 0.0000 0.0000 0.5039 x3
Br2 0.0000 0.0000 0.7154 x3
Cl1 0.0000 0.0000 0.2913 x3

energy above the most stable polymorph in this dataset	110	meV per atom
N(E_F)	6.88	states/eV per cell
ΔE_f (raw)	-0.162	eV per atom
total DFT energy (no corrections)	-2.906	eV per atom